# 1
Na2Al5Ag4 after structural relaxation. Source: the Alexandria database, functional GGA-PBE.

## Properties
**Size of the total moment**: 0.000 μB per formula unit
**Electronic total energy**: -3.00 eV per atom
**Formation energy from the elements**: -0.018 eV/atom

Lattice parameters (Å, degrees): 5.4741 8.5900 8.9977 90.00 90.00 90.00
Space group Immm (No. 71)
One atom of each set of equivalent atoms:
Na 0.0000 0.0000 0.1977 (multiplicity 4)
Al 0.0000 0.5000 0.5000 (multiplicity 2)
Al 0.2468 0.1758 0.5000 (multiplicity 8)
Ag 0.0000 0.3290 0.2582 (multiplicity 8)

# 2
KSr2Cl after structural relaxation. Source: the Alexandria database, functional GGA-PBE.

## Properties
**Size of the total moment**: 0.000 μB per formula unit
**Electronic total energy**: -1.86 eV per atom
**Raw formation energy**: -0.28 eV/atom

Lattice parameters (Å, degrees): 9.2519 9.2519 9.2519 90.00 90.00 90.00
Space group Fm-3m (No. 225)
One atom of each set of equivalent atoms:
K 0.0000 0.0000 0.0000 (multiplicity 4)
Sr 0.2500 0.2500 0.2500 (multiplicity 8)
Cl 0.0000 0.0000 0.5000 (multiplicity 4)